# MgPaIn4Rh2 PBE relaxed
data_MgPaIn4Rh2
_space_group_name_H-M_alt 'P 4/m m m'
_space_group_IT_number 123
_space_group_name_Hall '-P 4 2'
_cell_length_a 4.105
_cell_length_b 4.105
_cell_length_c 10.943
_cell_angle_alpha 90.00
_cell_angle_beta 90.00
_cell_angle_gamma 90.00
loop_
_atom_site_label
_atom_site_type_symbol
_atom_site_fract_x
_atom_site_fract_y
_atom_site_fract_z
Mg1 Mg 0.000 0.000 0.000
Pa1 Pa 0.000 0.000 0.500
In1 In 0.000 0.500 0.212
Rh1 Rh 0.500 0.500 0.385
# **V**: 184.4 Å³/f.u.
# **Formation energy**: -0.1387 eV per atom
# **Crystal system**: tetragonal

# MgPaInRh PBE relaxed
data_MgPaInRh
_space_group_name_H-M_alt 'F -4 3 m'
_space_group_IT_number 216
_space_group_name_Hall 'F -4 2 3'
_cell_length_a 6.975
_cell_length_b 6.975
_cell_length_c 6.975
_cell_angle_alpha 90.00
_cell_angle_beta 90.00
_cell_angle_gamma 90.00
loop_
_atom_site_label
_atom_site_type_symbol
_atom_site_fract_x
_atom_site_fract_y
_atom_site_fract_z
Mg1 Mg 0.000 0.000 0.000
Pa1 Pa 0.000 0.000 0.500
In1 In 0.250 0.250 0.750
Rh1 Rh 0.250 0.250 0.250
# **V**: 84.8 Å³/f.u.
# **Formation energy**: -0.1944 eV per atom
# **Crystal system**: cubic

# Mg2PaInRh2 PBE relaxed
data_Mg2PaInRh2
_space_group_name_H-M_alt 'P m c 21'
_space_group_IT_number 26
_cell_length_a 3.761
_cell_length_b 8.600
_cell_length_c 7.435
_cell_angle_alpha 90.00
_cell_angle_beta 90.00
_cell_angle_gamma 90.00
loop_
_space_group_symop_operation_xyz
'x,y,z'
'-x,-y,z+1/2'
'-x,y,z'
'x,-y,z+1/2'
loop_
_atom_site_label
_atom_site_type_symbol
_atom_site_fract_x
_atom_site_fract_y
_atom_site_fract_z
Mg1 Mg 0.000 0.062 0.000
Mg2 Mg 0.500 0.173 0.298
Pa1 Pa 0.500 0.397 0.901
In1 In 0.000 0.309 0.547
Rh1 Rh 0.000 0.392 0.174
Rh2 Rh 0.500 0.138 0.725
# **V**: 120.3 Å³/f.u.
# **Formation energy**: -0.5124 eV per atom
# **Crystal system**: orthorhombic

# MgPaTlIn PBE relaxed
data_MgPaTlIn
_space_group_name_H-M_alt 'F -4 3 m'
_space_group_IT_number 216
_space_group_name_Hall 'F -4 2 3'
_cell_length_a 7.387
_cell_length_b 7.387
_cell_length_c 7.387
_cell_angle_alpha 90.00
_cell_angle_beta 90.00
_cell_angle_gamma 90.00
loop_
_atom_site_label
_atom_site_type_symbol
_atom_site_fract_x
_atom_site_fract_y
_atom_site_fract_z
Mg1 Mg 0.000 0.000 0.000
Pa1 Pa 0.000 0.000 0.500
Tl1 Tl 0.250 0.250 0.750
In1 In 0.250 0.250 0.250
# **V**: 100.8 Å³/f.u.
# **Formation energy**: 0.1064 eV per atom
# **Crystal system**: cubic

# MgPaZnIn PBE relaxed
data_MgPaZnIn
_space_group_name_H-M_alt 'F -4 3 m'
_space_group_IT_number 216
_space_group_name_Hall 'F -4 2 3'
_cell_length_a 7.112
_cell_length_b 7.112
_cell_length_c 7.112
_cell_angle_alpha 90.00
_cell_angle_beta 90.00
_cell_angle_gamma 90.00
loop_
_atom_site_label
_atom_site_type_symbol
_atom_site_fract_x
_atom_site_fract_y
_atom_site_fract_z
Mg1 Mg 0.000 0.000 0.000
Pa1 Pa 0.000 0.000 0.500
Zn1 Zn 0.250 0.250 0.750
In1 In 0.250 0.250 0.250
# **V**: 89.9 Å³/f.u.
# **Formation energy**: 0.0361 eV per atom
# **Crystal system**: cubic

# Mg5InPb PBE relaxed
data_Mg5InPb
_space_group_name_H-M_alt 'P 4/m m m'
_space_group_IT_number 123
_space_group_name_Hall '-P 4 2'
_cell_length_a 4.994
_cell_length_b 4.994
_cell_length_c 7.002
_cell_angle_alpha 90.00
_cell_angle_beta 90.00
_cell_angle_gamma 90.00
loop_
_atom_site_label
_atom_site_type_symbol
_atom_site_fract_x
_atom_site_fract_y
_atom_site_fract_z
Mg1 Mg 0.000 0.000 0.000
Mg2 Mg 0.000 0.500 0.274
In1 In 0.000 0.000 0.500
Pb1 Pb 0.500 0.500 0.000
# **V**: 174.7 Å³/f.u.
# **Formation energy**: -0.0331 eV per atom
# **Crystal system**: tetragonal

# Mg8InPb3 PBE relaxed
data_Mg8InPb3
_space_group_name_H-M_alt 'I 4/m m m'
_space_group_IT_number 139
_space_group_name_Hall '-I 4 2'
_cell_length_a 6.898
_cell_length_b 6.898
_cell_length_c 13.746
_cell_angle_alpha 90.00
_cell_angle_beta 90.00
_cell_angle_gamma 90.00
loop_
_atom_site_label
_atom_site_type_symbol
_atom_site_fract_x
_atom_site_fract_y
_atom_site_fract_z
Mg1 Mg 0.245 0.245 0.123
In1 In 0.000 0.000 0.000
Pb1 Pb 0.000 0.000 0.500
Pb2 Pb 0.000 0.500 0.250
# **V**: 327.0 Å³/f.u.
# **Formation energy**: -0.0501 eV per atom
# **Crystal system**: tetragonal

# MgIn8Pb2 PBE relaxed
data_MgIn8Pb2
_space_group_name_H-M_alt 'P 4/m m m'
_space_group_IT_number 123
_space_group_name_Hall '-P 4 2'
_cell_length_a 4.807
_cell_length_b 4.807
_cell_length_c 13.533
_cell_angle_alpha 90.00
_cell_angle_beta 90.00
_cell_angle_gamma 90.00
loop_
_atom_site_label
_atom_site_type_symbol
_atom_site_fract_x
_atom_site_fract_y
_atom_site_fract_z
Mg1 Mg 0.000 0.000 0.000
In1 In 0.000 0.500 0.138
In2 In 0.000 0.500 0.500
In3 In 0.500 0.500 0.317
Pb1 Pb 0.000 0.000 0.316
# **V**: 312.7 Å³/f.u.
# **Formation energy**: 0.0337 eV per atom
# **Crystal system**: tetragonal

# Mg7In2Pb3 PBE relaxed
data_Mg7In2Pb3
_space_group_name_H-M_alt 'C m m m'
_space_group_IT_number 65
_space_group_name_Hall '-C 2 2'
_cell_length_a 5.236
_cell_length_b 34.079
_cell_length_c 3.494
_cell_angle_alpha 90.00
_cell_angle_beta 90.00
_cell_angle_gamma 90.00
loop_
_atom_site_label
_atom_site_type_symbol
_atom_site_fract_x
_atom_site_fract_y
_atom_site_fract_z
Mg1 Mg 0.000 0.000 0.000
Mg2 Mg 0.000 0.071 0.500
Mg3 Mg 0.000 0.228 0.000
Mg4 Mg 0.000 0.411 0.000
In1 In 0.000 0.143 0.000
Pb1 Pb 0.000 0.311 0.500
Pb2 Pb 0.000 0.500 0.500
# **V**: 311.7 Å³/f.u.
# **Formation energy**: 0.0253 eV per atom
# **Crystal system**: orthorhombic

# Mg7In2Pb PBE relaxed
data_Mg7In2Pb
_space_group_name_H-M_alt 'I 4/m m m'
_space_group_IT_number 139
_space_group_name_Hall '-I 4 2'
_cell_length_a 4.905
_cell_length_b 4.905
_cell_length_c 21.102
_cell_angle_alpha 90.00
_cell_angle_beta 90.00
_cell_angle_gamma 90.00
loop_
_atom_site_label
_atom_site_type_symbol
_atom_site_fract_x
_atom_site_fract_y
_atom_site_fract_z
Mg1 Mg 0.000 0.000 0.000
Mg2 Mg 0.000 0.500 0.095
Mg3 Mg 0.000 0.500 0.250
In1 In 0.000 0.000 0.170
Pb1 Pb 0.000 0.000 0.500
# **V**: 253.9 Å³/f.u.
# **Formation energy**: -0.0286 eV per atom
# **Crystal system**: tetragonal

# MgIn2Pb PBE relaxed
data_MgIn2Pb
_space_group_name_H-M_alt 'R -3 m'
_space_group_IT_number 166
_space_group_name_Hall '-R 3 2"'
_cell_length_a 3.3995
_cell_length_b 3.3995
_cell_length_c 32.2517
_cell_angle_alpha 90.00
_cell_angle_beta 90.00
_cell_angle_gamma 120.00
loop_
_atom_site_label
_atom_site_type_symbol
_atom_site_fract_x
_atom_site_fract_y
_atom_site_fract_z
Mg1 Mg 0.0000 0.0000 0.0000
In1 In 0.0000 0.0000 0.2573
Pb1 Pb 0.0000 0.0000 0.5000
# **V**: 107.6 Å³/f.u.
# **Formation energy**: -0.0191 eV per atom
# **Crystal system**: trigonal

# MgIn6Pb2 PBE relaxed
data_MgIn6Pb2
_space_group_name_H-M_alt 'C 1 2/c 1'
_space_group_IT_number 15
_cell_length_a 12.358
_cell_length_b 11.354
_cell_length_c 8.723
_cell_angle_alpha 90.00
_cell_angle_beta 125.87
_cell_angle_gamma 90.00
loop_
_space_group_symop_operation_xyz
'x,y,z'
'-x,-y,-z'
'-x,y,-z+1/2'
'x,-y,z+1/2'
'x+1/2,y+1/2,z'
'-x+1/2,-y+1/2,-z'
'-x+1/2,y+1/2,-z+1/2'
'x+1/2,-y+1/2,z+1/2'
loop_
_atom_site_label
_atom_site_type_symbol
_atom_site_fract_x
_atom_site_fract_y
_atom_site_fract_z
Mg1 Mg 0.000 0.153 0.250
In1 In 0.034 0.373 0.958
In2 In 0.103 0.094 0.691
In3 In 0.220 0.153 0.130
Pb1 Pb 0.184 0.388 0.424
# **V**: 248.0 Å³/f.u.
# **Formation energy**: 0.0160 eV per atom
# **Crystal system**: monoclinic

no.,DOS at the Fermi energy (states/eV/cell)
1,8.2
2,18.0
3,9.0
4,15.8
5,19.7
6,1.6
7,6.3
8,5.2
9,10.0
10,7.0
11,6.9
12,15.6